No. 1
VASP calculation (PBE) on LaZr2 after structural relaxation.

Lattice parameters (Å, degrees): 5.7798 5.7798 5.7798 146.99 130.70 60.61
Last column: nearest neighbours and their distance in Å.
Atoms (fractional coordinates):
1 La 0.0000 0.0000 0.0000  10 Zr 3.23-3.40, 2 La 3.28
2 Zr 0.3240 0.3240 0.0000  5 La 3.23-3.40, 7 Zr 3.27-3.51
3 Zr 0.6760 0.6760 0.0000  5 La 3.23-3.40, 7 Zr 3.27-3.51

## Properties
* space group: No. 71
* DFT total energy: -0.5265 Ry per atom
* distance to the lowest polymorph of the same formula: 0.083 eV per atom

---

No. 2
VASP calculation (PBE) on LaZr after structural relaxation.

Lattice parameters (Å, degrees): 5.5879 5.5879 5.9111 90.00 90.00 120.00
Last column: nearest neighbours and their distance in Å.
Atoms (fractional coordinates):
1 La 0.3333 0.6667 0.7500  5 Zr 2.96-3.23
2 La 0.6667 0.3333 0.2500  5 Zr 2.96-3.23
3 Zr 0.3333 0.6667 0.2500  5 La 2.96-3.23
4 Zr 0.6667 0.3333 0.7500  5 La 2.96-3.23

## Properties
* space group: No. 194
* DFT total energy: -0.3818 Ry per atom
* distance to the lowest polymorph of the same formula: 1.426 eV per atom

---

No. 3
VASP calculation (PBE) on LaZr2 after structural relaxation.

Lattice parameters (Å, degrees): 5.8800 5.8800 5.8800 107.99 107.99 112.47
Last column: nearest neighbours and their distance in Å.
Atoms (fractional coordinates):
1 La 0.2500 0.2500 0.0000  8 Zr 3.09, 2 La 3.27
2 La 0.7500 0.7500 0.0000  8 Zr 3.09, 2 La 3.27
3 Zr 0.1539 0.6539 0.8078  1 Zr 3.01, 4 La 3.09
4 Zr 0.3461 0.1539 0.5000  1 Zr 3.01, 4 La 3.09
5 Zr 0.6539 0.8461 0.5000  1 Zr 3.01, 4 La 3.09
6 Zr 0.8461 0.3461 0.1922  1 Zr 3.01, 4 La 3.09

## Properties
* space group: No. 140
* DFT total energy: -0.4972 Ry per atom
* distance to the lowest polymorph of the same formula: 0.482 eV per atom

---

No. 4
VASP calculation (PBE) on LaZr2 after structural relaxation.

Lattice parameters (Å, degrees): 9.3869 9.3869 5.3542 90.00 90.00 159.61
Last column: nearest neighbours and their distance in Å.
Atoms (fractional coordinates):
1 La 0.4387 0.5613 0.2500  4 La 3.32-3.51, 6 Zr 3.41-3.48
2 La 0.5613 0.4387 0.7500  4 La 3.32-3.51, 6 Zr 3.41-3.48
3 Zr 0.7734 0.2266 0.2500  10 Zr 3.10-3.32
4 Zr 0.1316 0.8684 0.2500  6 Zr 3.10-3.32, 4 La 3.41
5 Zr 0.8684 0.1316 0.7500  6 Zr 3.10-3.32, 4 La 3.41
6 Zr 0.2266 0.7734 0.7500  10 Zr 3.10-3.32

## Properties
* space group: No. 63
* DFT total energy: -0.5326 Ry per atom
* distance to the lowest polymorph of the same formula: 0.000 eV per atom

---

No. 5
VASP calculation (PBE) on LaZr after structural relaxation.

Lattice parameters (Å, degrees): 6.0310 6.0310 5.5057 90.00 90.00 119.12
Last column: nearest neighbours and their distance in Å.
Atoms (fractional coordinates):
1 La 0.9788 0.3425 0.0000  6 Zr 3.32-3.50, 4 La 3.37-3.53
2 La 0.3425 0.9788 0.0000  6 Zr 3.32-3.50, 4 La 3.37-3.53
3 La 0.3478 0.3478 0.5000  4 Zr 3.23-3.54, 4 La 3.53
4 Zr 0.7115 0.7115 0.0000  4 Zr 3.22, 6 La 3.32-3.54
5 Zr 0.6592 0.9602 0.5000  3 Zr 3.13-3.22, 5 La 3.23-3.50
6 Zr 0.9602 0.6592 0.5000  3 Zr 3.13-3.22, 5 La 3.23-3.50

## Properties
* space group: No. 38
* DFT total energy: -0.4833 Ry per atom
* distance to the lowest polymorph of the same formula: 0.045 eV per atom

---

No. 6
VASP calculation (PBE) on LaZr after structural relaxation.

Lattice parameters (Å, degrees): 5.4205 5.4205 5.4205 60.00 60.00 60.00
Last column: nearest neighbours and their distance in Å.
Atoms (fractional coordinates):
1 La 0.0000 0.0000 0.0000  4 La 3.32, 4 Zr 3.32
2 La 0.2500 0.2500 0.2500  4 Zr 3.32, 4 La 3.32
3 Zr 0.7500 0.7500 0.7500  4 La 3.32, 4 Zr 3.32
4 Zr 0.5000 0.5000 0.5000  4 Zr 3.32, 4 La 3.32

## Properties
* space group: No. 227
* DFT total energy: -0.4742 Ry per atom
* distance to the lowest polymorph of the same formula: 0.169 eV per atom

---

No. 7
VASP calculation (PBE) on LaZr2 after structural relaxation.

Lattice parameters (Å, degrees): 9.1288 9.1288 5.4065 90.00 90.00 159.19
Last column: nearest neighbours and their distance in Å.
Atoms (fractional coordinates):
1 La 0.2161 0.7839 0.2500  6 La 3.30-3.39, 4 Zr 3.42-3.43
2 La 0.7839 0.2161 0.7500  6 La 3.30-3.39, 4 Zr 3.42-3.43
3 Zr 0.9008 0.0992 0.2500  8 Zr 3.12-3.30, 2 La 3.42
4 Zr 0.5486 0.4514 0.2500  10 Zr 3.12-3.30, 2 La 3.43
5 Zr 0.4514 0.5486 0.7500  10 Zr 3.12-3.30, 2 La 3.43
6 Zr 0.0992 0.9008 0.7500  8 Zr 3.12-3.30, 2 La 3.42

## Properties
* space group: No. 63
* DFT total energy: -0.5301 Ry per atom
* distance to the lowest polymorph of the same formula: 0.034 eV per atom

---

No. 8
VASP calculation (PBE) on LaZr after structural relaxation.

Lattice parameters (Å, degrees): 3.4097 11.4026 3.4097 98.60 60.00 98.60
Last column: nearest neighbours and their distance in Å.
Atoms (fractional coordinates):
1 La 0.0051 0.0152 0.0051  9 La 3.41-3.71, 3 Zr 3.44
2 La 0.2449 0.7348 0.2449  9 La 3.41-3.71, 3 Zr 3.44
3 Zr 0.4947 0.4841 0.4947  9 Zr 3.14-3.41, 3 La 3.44
4 Zr 0.7553 0.2659 0.7553  9 Zr 3.14-3.41, 3 La 3.44

## Properties
* space group: No. 166
* DFT total energy: -0.4843 Ry per atom
* distance to the lowest polymorph of the same formula: 0.031 eV per atom

---

No. 9
VASP calculation (PBE) on LaZr after structural relaxation.

Lattice parameters (Å, degrees): 3.3781 3.3703 11.7959 89.87 81.19 60.09
Last column: nearest neighbours and their distance in Å.
Atoms (fractional coordinates):
1 Zr 0.9167 0.6582 0.8566  9 Zr 3.12-3.38, 2 La 3.47
2 Zr 0.4062 0.9169 0.6460  9 Zr 3.12-3.38
3 La 0.2413 0.4986 0.3955  7 La 3.37-3.38, 3 Zr 3.49-3.51
4 La 0.4212 0.4053 0.1050  7 La 3.37-3.38, 3 Zr 3.47-3.51

## Properties
* space group: No. 1
* DFT total energy: -0.4827 Ry per atom
* distance to the lowest polymorph of the same formula: 0.053 eV per atom

---

No. 10
VASP calculation (PBE) on LaZr after structural relaxation.

Lattice parameters (Å, degrees): 9.3804 9.3804 9.3804 90.00 90.00 90.00
Last column: nearest neighbours and their distance in Å.
Atoms (fractional coordinates):
1 La 0.2895 0.2895 0.2895  4 Zr 2.96-3.28
2 La 0.2895 0.7105 0.7105  4 Zr 2.96-3.28
3 La 0.7105 0.2895 0.7105  4 Zr 2.96-3.28
4 La 0.7105 0.7105 0.2895  4 Zr 2.96-3.28
5 La 0.7895 0.7895 0.7895  4 Zr 2.96-3.28
6 La 0.7895 0.2105 0.2105  4 Zr 2.96-3.28
7 La 0.2105 0.7895 0.2105  4 Zr 2.96-3.28
8 La 0.2105 0.2105 0.7895  4 Zr 2.96-3.28
9 Zr 0.1072 0.1072 0.1072  3 Zr 2.85, 1 La 2.96
10 Zr 0.1072 0.8928 0.8928  3 Zr 2.85, 1 La 2.96
11 Zr 0.8928 0.1072 0.8928  3 Zr 2.85, 1 La 2.96
12 Zr 0.8928 0.8928 0.1072  3 Zr 2.85, 1 La 2.96
13 Zr 0.6072 0.6072 0.6072  3 Zr 2.85, 1 La 2.96
14 Zr 0.6072 0.3928 0.3928  3 Zr 2.85, 1 La 2.96
15 Zr 0.3928 0.6072 0.3928  3 Zr 2.85, 1 La 2.96
16 Zr 0.3928 0.3928 0.6072  3 Zr 2.85, 1 La 2.96

## Properties
* space group: No. 217
* DFT total energy: -0.4076 Ry per atom
* distance to the lowest polymorph of the same formula: 1.075 eV per atom

---

No. 11
VASP calculation (PBE) on LaZr2 after structural relaxation.

Lattice parameters (Å, degrees): 3.9074 5.9500 3.9074 70.83 90.00 109.17
Last column: nearest neighbours and their distance in Å.
Atoms (fractional coordinates):
1 La 0.0000 0.0000 0.0000  10 Zr 3.31-3.39
2 Zr 0.3137 0.6275 0.6863  4 Zr 3.07, 5 La 3.31-3.39
3 Zr 0.6863 0.3725 0.3137  4 Zr 3.07, 5 La 3.31-3.39

## Properties
* space group: No. 139
* DFT total energy: -0.5258 Ry per atom
* distance to the lowest polymorph of the same formula: 0.092 eV per atom

---

No. 12
VASP calculation (PBE) on LaZr after structural relaxation.

Lattice parameters (Å, degrees): 8.1281 8.1281 8.1281 90.00 90.00 90.00
Last column: nearest neighbours and their distance in Å.
Atoms (fractional coordinates):
1 La 0.2500 0.5000 0.0000  4 Zr 2.87
2 La 0.7500 0.5000 0.0000  4 Zr 2.87
3 La 0.5000 0.0000 0.2500  4 Zr 2.87
4 La 0.5000 0.0000 0.7500  4 Zr 2.87
5 La 0.0000 0.2500 0.5000  4 Zr 2.87
6 La 0.0000 0.7500 0.5000  4 Zr 2.87
7 Zr 0.2500 0.0000 0.5000  4 La 2.87
8 Zr 0.7500 0.0000 0.5000  4 La 2.87
9 Zr 0.0000 0.5000 0.2500  4 La 2.87
10 Zr 0.0000 0.5000 0.7500  4 La 2.87
11 Zr 0.5000 0.2500 0.0000  4 La 2.87
12 Zr 0.5000 0.7500 0.0000  4 La 2.87

## Properties
* space group: No. 223
* DFT total energy: -0.3438 Ry per atom
* distance to the lowest polymorph of the same formula: 1.942 eV per atom

---

No. 13
VASP calculation (PBE) on La2Zr3 after structural relaxation.

Lattice parameters (Å, degrees): 9.7589 8.5414 6.4783 79.75 59.46 40.79
Last column: nearest neighbours and their distance in Å.
Atoms (fractional coordinates):
1 La 0.2261 0.8833 0.3727  9 Zr 3.23-3.61
2 La 0.5179 0.3727 0.8833  9 Zr 3.23-3.61
3 La 0.3667 0.0239 0.7321  9 Zr 3.23-3.61
4 La 0.8773 0.7321 0.0239  9 Zr 3.23-3.61
5 Zr 0.7827 0.4296 0.3276  4 Zr 3.05-3.30, 3 La 3.29-3.39
6 Zr 0.4601 0.3276 0.4296  4 Zr 3.05-3.30, 3 La 3.29-3.39
7 Zr 0.8204 0.4673 0.7899  4 Zr 3.05-3.30, 3 La 3.29-3.39
8 Zr 0.9224 0.7899 0.4673  4 Zr 3.05-3.30, 3 La 3.29-3.39
9 Zr 0.0131 0.9869 0.9869  4 Zr 3.05-3.30, 4 La 3.23-3.32
10 Zr 0.2631 0.2369 0.2369  4 Zr 3.05-3.30, 4 La 3.23-3.32

## Properties
* space group: No. 43
* DFT total energy: -0.5037 Ry per atom
* distance to the lowest polymorph of the same formula: 0.000 eV per atom

---

No. 14
VASP calculation (PBE) on LaZr7 after structural relaxation.

Lattice parameters (Å, degrees): 6.4934 6.4934 6.4934 60.00 60.00 60.00
Last column: nearest neighbours and their distance in Å.
Atoms (fractional coordinates):
1 La 0.0000 0.0000 0.0000  12 Zr 3.25
2 Zr 0.0000 0.5000 0.5000  10 Zr 3.25, 2 La 3.25
3 Zr 0.5000 0.0000 0.5000  10 Zr 3.25, 2 La 3.25
4 Zr 0.5000 0.5000 0.0000  10 Zr 3.25, 2 La 3.25
5 Zr 0.0000 0.0000 0.5000  10 Zr 3.25, 2 La 3.25
6 Zr 0.0000 0.5000 0.0000  10 Zr 3.25, 2 La 3.25
7 Zr 0.5000 0.0000 0.0000  10 Zr 3.25, 2 La 3.25
8 Zr 0.5000 0.5000 0.5000  12 Zr 3.25

## Properties
* space group: No. 225
* DFT total energy: -0.5857 Ry per atom

---

No. 15
VASP calculation (PBE) on LaZr after structural relaxation.

Lattice parameters (Å, degrees): 6.2464 6.2464 6.4394 90.00 90.00 90.00
Last column: nearest neighbours and their distance in Å.
Atoms (fractional coordinates):
1 La 0.1779 0.1779 0.0000  1 La 3.14, 6 Zr 3.18-3.38
2 La 0.6779 0.3221 0.5000  1 La 3.14, 6 Zr 3.18-3.38
3 La 0.3221 0.6779 0.5000  1 La 3.14, 6 Zr 3.18-3.38
4 La 0.8221 0.8221 0.0000  1 La 3.14, 6 Zr 3.18-3.38
5 Zr 0.3385 0.6615 0.0000  1 Zr 2.85, 2 La 3.18
6 Zr 0.8385 0.8385 0.5000  1 Zr 2.85, 2 La 3.18
7 Zr 0.1615 0.1615 0.5000  1 Zr 2.85, 2 La 3.18
8 Zr 0.6615 0.3385 0.0000  1 Zr 2.85, 2 La 3.18

## Properties
* space group: No. 136
* DFT total energy: -0.4468 Ry per atom
* distance to the lowest polymorph of the same formula: 0.542 eV per atom

---

No. 16
VASP calculation (PBE) on LaZr3 after structural relaxation.

Lattice parameters (Å, degrees): 5.2226 5.2226 5.2226 60.00 60.00 60.00
Last column: nearest neighbours and their distance in Å.
Atoms (fractional coordinates):
1 La 0.0000 0.0000 0.0000  8 Zr 3.20
2 Zr 0.7500 0.7500 0.7500  4 Zr 3.20, 4 La 3.20
3 Zr 0.5000 0.5000 0.5000  8 Zr 3.20
4 Zr 0.2500 0.2500 0.2500  4 Zr 3.20, 4 La 3.20

## Properties
* space group: No. 225
* DFT total energy: -0.5443 Ry per atom

---

No. 17
VASP calculation (PBE) on LaZr3 after structural relaxation.

Lattice parameters (Å, degrees): 5.7640 6.3596 3.2758 75.08 90.00 116.95
Last column: nearest neighbours and their distance in Å.
Atoms (fractional coordinates):
1 La 0.0031 0.0000 0.0000  10 Zr 3.21-3.40, 2 La 3.28
2 Zr 0.0816 0.5155 0.2422  3 La 3.21-3.40, 9 Zr 3.28-3.32
3 Zr 0.5159 0.0000 0.5000  4 La 3.25-3.38, 8 Zr 3.28-3.31
4 Zr 0.5661 0.4845 0.7578  3 La 3.21-3.40, 9 Zr 3.28-3.32

## Properties
* space group: No. 44
* DFT total energy: -0.5490 Ry per atom

---

No. 18
VASP calculation (PBE) on LaZr after structural relaxation.

Lattice parameters (Å, degrees): 3.4254 3.4280 11.2782 90.00 89.99 60.06
Last column: nearest neighbours and their distance in Å.
Atoms (fractional coordinates):
1 Zr 0.8665 0.6293 0.1414  9 Zr 3.14-3.43, 3 La 3.41
2 Zr 0.1998 0.9649 0.3574  9 Zr 3.14-3.43, 3 La 3.40-3.42
3 La 0.8669 0.6260 0.6034  3 Zr 3.40-3.42, 6 La 3.43
4 La 0.5342 0.2948 0.8948  3 Zr 3.41, 6 La 3.43

## Properties
* space group: No. 8
* DFT total energy: -0.4840 Ry per atom
* distance to the lowest polymorph of the same formula: 0.035 eV per atom

---

No. 19
VASP calculation (PBE) on LaZr4 after structural relaxation.

Lattice parameters (Å, degrees): 7.7863 7.7863 7.7863 147.72 147.72 46.30
Last column: nearest neighbours and their distance in Å.
Atoms (fractional coordinates):
1 La 0.0000 0.0000 0.0000  8 Zr 3.37
2 Zr 0.2500 0.7500 0.5000  8 Zr 3.06-3.07
3 Zr 0.5982 0.5982 0.0000  5 Zr 2.81-3.07
4 Zr 0.4018 0.4018 0.0000  5 Zr 2.81-3.07
5 Zr 0.7500 0.2500 0.5000  8 Zr 3.06-3.07

## Properties
* space group: No. 139
* DFT total energy: -0.5528 Ry per atom
* distance to the lowest polymorph of the same formula: 0.173 eV per atom

---

No. 20
VASP calculation (PBE) on LaZr after structural relaxation.

Lattice parameters (Å, degrees): 6.0659 6.0659 6.6010 61.19 61.19 58.94
Last column: nearest neighbours and their distance in Å.
Atoms (fractional coordinates):
1 La 0.0231 0.6950 0.9544  7 Zr 3.29-3.64, 5 La 3.31-3.61
2 La 0.3050 0.9769 0.0456  7 Zr 3.29-3.64, 5 La 3.31-3.61
3 La 0.8003 0.1997 0.5000  6 Zr 3.26-3.44, 4 La 3.31-3.59
4 Zr 0.6388 0.3612 0.0000  4 Zr 3.24-3.34, 6 La 3.29-3.55
5 Zr 0.1700 0.4372 0.5076  4 Zr 3.21-3.34, 6 La 3.26-3.57
6 Zr 0.5628 0.8300 0.4924  4 Zr 3.21-3.34, 6 La 3.26-3.57

## Properties
* space group: No. 5
* DFT total energy: -0.4817 Ry per atom
* distance to the lowest polymorph of the same formula: 0.067 eV per atom